(1)
{
  "formula": "CuTcSO",
  "functional": "GGA-PBE",
  "state": "optimized geometry",
  "density_g_cm3": 7.012,
  "vol_a3_per_cell": 99.27,
  "e_tot_ev_per_atom": -5.986,
  "cell": [[3.410, 0.000, 0.000], [0.000, 3.410, 0.000], [0.000, 0.000, 8.536]],
  "species": ["Cu", "Cu", "Tc", "Tc", "S", "S", "O", "O"],
  "frac_coords": [[0.250, 0.750, 0.000], [0.750, 0.250, 0.000], [0.250, 0.250, 0.356], [0.750, 0.750, 0.644], [0.250, 0.250, 0.789], [0.750, 0.750, 0.211], [0.250, 0.750, 0.500], [0.750, 0.250, 0.500]]
}

---

(2)
{
  "formula": "LaP2S2",
  "functional": "GGA-PBE",
  "state": "optimized geometry",
  "density_g_cm3": 4.388,
  "vol_a3_per_cell": 100.29,
  "e_tot_ev_per_atom": -5.433,
  "cell": [[4.697, 0.000, 0.000], [0.000, 4.697, 0.000], [0.000, 0.000, 4.546]],
  "species": ["La", "P", "P", "S", "S"],
  "frac_coords": [[0.000, 0.000, 0.000], [0.500, 0.500, 0.000], [0.500, 0.500, 0.500], [0.000, 0.500, 0.500], [0.500, 0.000, 0.500]]
}

---

(3)
{
  "formula": "AcTlHgI",
  "functional": "GGA-PBE",
  "state": "optimized geometry",
  "density_g_cm3": 9.840,
  "vol_a3_per_cell": 128.06,
  "e_tot_ev_per_atom": -2.571,
  "cell": [[0.000, 4.001, 4.001], [4.001, 0.000, 4.001], [4.001, 4.001, 0.000]],
  "species": ["Ac", "Tl", "Hg", "I"],
  "frac_coords": [[0.000, 0.000, 0.000], [0.500, 0.500, 0.500], [0.250, 0.250, 0.250], [0.750, 0.750, 0.750]]
}